Compound: Ti3CrSn2P6O24
Source: the Alexandria database
Functional: GGA+U
Structure: optimized geometry

```
Ti3CrSn2P6O24
1.0
4.285 2.474 7.672
-4.285 2.474 7.672
0.000 -4.948 7.672
Ti Cr Sn P O
3 1 2 6 24
Direct
0.000 0.000 0.000
0.201 0.201 0.201
0.501 0.501 0.501
0.702 0.702 0.702
0.339 0.339 0.339
0.838 0.838 0.838
0.102 0.816 0.391
0.322 0.602 0.890
0.391 0.102 0.816
0.602 0.890 0.322
0.816 0.391 0.102
0.890 0.322 0.602
0.081 0.271 0.436
0.084 0.842 0.220
0.130 0.984 0.362
0.151 0.788 0.905
0.220 0.084 0.842
0.270 0.634 0.434
0.271 0.436 0.081
0.349 0.568 0.728
0.362 0.130 0.984
0.434 0.270 0.634
0.436 0.081 0.271
0.500 0.598 0.875
0.568 0.728 0.349
0.568 0.916 0.805
0.598 0.875 0.500
0.634 0.434 0.270
0.728 0.349 0.568
0.788 0.905 0.151
0.805 0.568 0.916
0.842 0.220 0.084
0.875 0.500 0.598
0.905 0.151 0.788
0.916 0.805 0.568
0.984 0.362 0.130
```

Values from the calculation:
Symmetry: No. 146
Uncorrected energy (eV/cell): -274.4